# 1
Here is crystalline NiSb6Os at its relaxed geometry from the Alexandria database. Energies are from PBE.

The structure in extended XYZ format:
```
16
Lattice="7.570 0.003 -2.686 -3.726 6.588 -2.692 -0.003 -0.005 8.095" Properties=species:S:1:pos:R:3 pbc="T T T"
Sb 0.740 3.258 -0.955
Sb 3.102 3.328 3.672
Sb 5.622 1.019 2.732
Sb 1.985 5.394 -2.697
Sb 3.913 4.349 0.025
Sb -1.313 4.383 4.433
Sb 5.155 2.204 -1.716
Sb 0.693 5.543 1.724
Sb 1.856 1.193 5.415
Sb -1.780 5.568 -0.014
Sb 3.149 1.044 0.994
Sb -0.072 2.238 2.692
Ni -0.002 -0.002 4.047
Ni 1.921 3.293 1.359
Os -1.863 3.294 -1.346
Os 3.785 0.002 -1.343
```

Values from the calculation:
SG: No. 12

=====

# 2
Here is crystalline Pm3DyPu3Se8 at its relaxed geometry from the Alexandria database. Energies are from PBE.

The structure in extended XYZ format:
```
15
Lattice="-5.254 -1.519 6.258 -0.770 -4.134 -7.168 6.445 -1.570 5.030" Properties=species:S:1:pos:R:3 pbc="T T T"
Dy 3.223 -0.785 2.515
Se 0.092 -6.435 1.292
Se -0.063 -2.867 -0.748
Se 0.329 -0.788 2.828
Se -2.314 -1.551 5.975
Se 3.122 -3.592 1.750
Se 0.484 -4.355 4.868
Se 2.735 -5.671 -1.855
Se -2.701 -3.631 2.370
Pm -3.012 -2.826 -0.455
Pm 0.000 0.000 0.000
Pm -0.385 -2.067 -3.584
Pu 0.211 -3.611 2.060
Pu 0.596 -1.545 5.644
Pu 2.837 -2.852 -1.069
```

Values from the calculation:
SG: No. 166

=====

| no. | uncorrected formation energy (eV/f.u.) | electronic total energy (eV/atom) |
| --- | --- | --- |
| 1 | -0.9 | -5.3275 |
| 2 | -26.2 | -7.7269 |